[1]
Nd4Te2AsSe | PBE | optimized geometry

a b c (Å): 4.3337 7.4970 7.7361
angles (deg): 108.86 90.00 90.00
With the nearest neighbours (Å) after each atom.
Fractional positions:
Nd 0.5000 0.2350 0.2190  2 As 2.96, 1 Se 3.00, 3 Te 3.21-3.25
Nd 0.5000 0.7650 0.7810  2 As 2.96, 1 Se 3.00, 3 Te 3.21-3.25
Nd 0.0000 0.7443 0.2192  1 As 2.94, 2 Se 2.99, 3 Te 3.22-3.26
Nd 0.0000 0.2557 0.7808  1 As 2.94, 2 Se 2.99, 3 Te 3.22-3.26
As 0.0000 0.0000 0.0000  6 Nd 2.94-2.96
Te 0.5000 0.0000 0.5000  6 Nd 3.21-3.22
Te 0.0000 0.5000 0.5000  6 Nd 3.25-3.26
Se 0.5000 0.5000 0.0000  6 Nd 2.99-3.00

Results
formation energy without anion corrections	-1602.6	meV/atom
size of the total moment	0.0	μB/f.u.
space group	P2/m


[2]
NdThAsSe | PBE | optimized geometry

a b c (Å): 4.2391 4.2384 5.9828
angles (deg): 90.00 90.00 90.00
With the nearest neighbours (Å) after each atom.
Fractional positions:
Se 0.5000 0.3916 0.5925  2 Nd 2.99, 4 Th 3.00
As 0.0000 0.8915 0.0923  2 Th 2.99, 4 Nd 3.00
Nd 0.5000 0.3915 0.0925  2 Se 2.99, 4 As 3.00
Th 0.0000 0.8916 0.5924  2 As 2.99, 4 Se 3.00

Results
formation energy without anion corrections	-1577.8	meV/atom
size of the total moment	0.0	μB/f.u.
space group	P4/mmm


[3]
NdTmAsSe | PBE | optimized geometry

a b c (Å): 4.1372 4.1372 7.2407
angles (deg): 73.40 73.40 60.00
With the nearest neighbours (Å) after each atom.
Fractional positions:
Tm 0.5041 0.5041 0.4878  3 As 2.83, 3 Se 2.92
Nd 0.9960 0.9960 0.0120  3 As 2.95, 3 Se 3.05
As 0.2448 0.2448 0.2657  3 Tm 2.83, 3 Nd 2.95
Se 0.7552 0.7552 0.7344  3 Tm 2.92, 3 Nd 3.05

Results
formation energy without anion corrections	-1689.5	meV/atom
size of the total moment	0.0	μB/f.u.
space group	R3m


[4]
Nd2SiAs | PBE | optimized geometry

a b c (Å): 4.1905 4.1905 7.6064
angles (deg): 74.01 74.01 60.00
With the nearest neighbours (Å) after each atom.
Fractional positions:
Nd 0.7519 0.7519 0.7443  3 As 2.99, 3 Si 3.04
Nd 0.2481 0.2481 0.2557  3 As 2.99, 3 Si 3.04
Si 0.0000 0.0000 0.0000  6 Nd 3.04
As 0.5000 0.5000 0.5000  6 Nd 2.99

Results
formation energy without anion corrections	-963.4	meV/atom
size of the total moment	0.0	μB/f.u.
space group	R-3m


[5]
Nd8SiAs5 | PBE | optimized geometry

a b c (Å): 7.8397 7.8397 7.8397
angles (deg): 109.49 109.43 109.49
With the nearest neighbours (Å) after each atom.
Fractional positions:
Nd 0.1258 0.7490 0.5096  5 As 2.97-3.30, 1 Si 3.29
Nd 0.7606 0.2510 0.3769  5 As 2.97-3.30, 1 Si 3.29
Nd 0.9934 0.1194 0.7433  1 Si 2.96, 4 As 2.97-3.31
Nd 0.4904 0.6162 0.2394  5 As 2.97-3.30, 1 Si 3.29
Nd 0.2567 0.2501 0.3761  1 Si 2.96, 4 As 2.97-3.31
Nd 0.6231 0.3838 0.8742  5 As 2.97-3.30, 1 Si 3.29
Nd 0.6239 0.8806 0.8740  1 Si 2.96, 4 As 2.97-3.31
Nd 0.1260 0.7499 0.0066  1 Si 2.96, 4 As 2.97-3.31
As 0.9997 0.3759 0.1252  8 Nd 2.97-3.32
As 0.8748 0.8745 0.2507  8 Nd 2.97-3.32
As 0.7493 0.6241 0.6238  8 Nd 2.97-3.32
As 0.3762 0.1255 0.0003  8 Nd 2.97-3.32
As 0.5000 0.0000 0.5000  8 Nd 2.98-3.31
Si 0.2500 0.5000 0.7500  8 Nd 2.96-3.29

Results
formation energy without anion corrections	-1171.9	meV/atom
size of the total moment	0.0	μB/f.u.
space group	I-4


[6]
Nd4SiAs3 | PBE | optimized geometry

a b c (Å): 6.0365 6.0365 6.0365
angles (deg): 90.00 90.00 90.00
With the nearest neighbours (Å) after each atom.
Fractional positions:
As 0.0000 0.5000 0.5000  6 Nd 3.02
As 0.5000 0.5000 0.0000  6 Nd 3.02
As 0.5000 0.0000 0.5000  6 Nd 3.02
Si 0.0000 0.0000 0.0000  6 Nd 3.02
Nd 0.0000 0.0000 0.5000  4 As 3.02, 2 Si 3.02
Nd 0.5000 0.5000 0.5000  6 As 3.02
Nd 0.0000 0.5000 0.0000  4 As 3.02, 2 Si 3.02
Nd 0.5000 0.0000 0.0000  4 As 3.02, 2 Si 3.02

Results
formation energy without anion corrections	-1234.0	meV/atom
size of the total moment	0.0	μB/f.u.
space group	Pm-3m


[7]
NdSiAs | PBE | optimized geometry

a b c (Å): 4.0905 5.6014 8.7199
angles (deg): 120.38 90.00 111.42
With the nearest neighbours (Å) after each atom.
Fractional positions:
Nd 0.0473 0.0946 0.7883  4 As 2.88-3.06, 3 Si 3.15-3.19
Nd 0.9527 0.9054 0.2117  4 As 2.88-3.06, 3 Si 3.15-3.19
Si 0.6865 0.3730 0.5062  1 As 2.37, 2 Si 2.47
Si 0.3135 0.6270 0.4938  1 As 2.37, 2 Si 2.47
As 0.2318 0.4635 0.1819  1 Si 2.37
As 0.7682 0.5365 0.8181  1 Si 2.37

Results
formation energy without anion corrections	-653.0	meV/atom
size of the total moment	0.0	μB/f.u.
space group	C2/m


[8]
Nd5Si2As | PBE | optimized geometry

a b c (Å): 7.8001 7.8001 8.9010
angles (deg): 115.99 115.99 90.00
With the nearest neighbours (Å) after each atom.
Fractional positions:
Si 0.6176 0.1176 0.0000  1 Si 2.59
Si 0.3824 0.8824 0.0000  1 Si 2.59
Si 0.1176 0.3824 0.0000  1 Si 2.59
Si 0.8824 0.6176 0.0000  1 Si 2.59
As 0.2500 0.2500 0.5000  10 Nd 3.24-3.49
As 0.7500 0.7500 0.5000  10 Nd 3.24-3.49
Nd 0.3186 0.8186 0.2892  3 Si 3.06-3.07, 2 As 3.24, 1 Nd 3.39
Nd 0.6814 0.1814 0.7108  3 Si 3.06-3.07, 2 As 3.24, 1 Nd 3.39
Nd 0.4706 0.3186 0.2892  3 Si 3.06-3.07, 2 As 3.24, 1 Nd 3.39
Nd 0.5294 0.6814 0.7108  3 Si 3.06-3.07, 2 As 3.24, 1 Nd 3.39
Nd 0.9706 0.4706 0.2892  3 Si 3.06-3.07, 2 As 3.24, 1 Nd 3.39
Nd 0.5000 0.5000 0.0000  4 Si 3.12, 2 As 3.49
Nd 0.1814 0.0294 0.7108  3 Si 3.06-3.07, 2 As 3.24, 1 Nd 3.39
Nd 0.0294 0.5294 0.7108  3 Si 3.06-3.07, 2 As 3.24, 1 Nd 3.39
Nd 0.8186 0.9706 0.2892  3 Si 3.06-3.07, 2 As 3.24, 1 Nd 3.39
Nd 0.0000 0.0000 0.0000  4 Si 3.12, 2 As 3.49

Results
formation energy without anion corrections	-734.8	meV/atom
size of the total moment	1.7	μB/f.u.
space group	I4/mcm


[9]
Nd5Si2As2 | PBE | optimized geometry

a b c (Å): 7.8734 7.9525 8.5066
angles (deg): 90.00 62.43 90.00
With the nearest neighbours (Å) after each atom.
Fractional positions:
As 0.2020 0.0000 0.5961  7 Nd 3.05-3.12
As 0.7020 0.5000 0.5961  7 Nd 3.05-3.12
As 0.2980 0.5000 0.4039  7 Nd 3.05-3.12
As 0.7980 0.0000 0.4039  7 Nd 3.05-3.12
Si 0.6141 0.1147 0.0000  1 Si 2.56
Si 0.3859 0.8853 0.0000  1 Si 2.56
Si 0.1141 0.3853 0.0000  1 Si 2.56
Si 0.8859 0.6147 0.0000  1 Si 2.56
Nd 0.5367 0.8305 0.2755  3 As 3.05-3.12, 3 Si 3.11-3.17
Nd 0.9633 0.3305 0.7245  3 As 3.05-3.12, 3 Si 3.11-3.17
Nd 0.3122 0.6695 0.7245  3 As 3.05-3.12, 3 Si 3.11-3.17
Nd 0.0000 0.0000 0.0000  2 As 3.05, 4 Si 3.17-3.19
Nd 0.0367 0.6695 0.2755  3 As 3.05-3.12, 3 Si 3.11-3.17
Nd 0.1878 0.1695 0.2755  3 As 3.05-3.12, 3 Si 3.11-3.17
Nd 0.8122 0.8305 0.7245  3 As 3.05-3.12, 3 Si 3.11-3.17
Nd 0.5000 0.5000 0.0000  2 As 3.05, 4 Si 3.17-3.19
Nd 0.6878 0.3305 0.2755  3 As 3.05-3.12, 3 Si 3.11-3.17
Nd 0.4633 0.1695 0.7245  3 As 3.05-3.12, 3 Si 3.11-3.17

Results
formation energy without anion corrections	-1021.9	meV/atom
size of the total moment	0.0	μB/f.u.
space group	Cmce


[10]
Nd2SiAs | PBE | optimized geometry

a b c (Å): 4.0741 4.3788 11.9879
angles (deg): 100.52 90.00 90.00
With the nearest neighbours (Å) after each atom.
Fractional positions:
Si 0.7500 0.5337 0.0673  2 Si 2.58
Si 0.2500 0.4663 0.9327  2 Si 2.58
Nd 0.7500 0.9348 0.8696  1 As 2.89, 6 Si 3.08-3.20
Nd 0.2500 0.3134 0.6268  5 As 2.96-2.99
Nd 0.2500 0.0652 0.1304  1 As 2.89, 6 Si 3.08-3.20
Nd 0.7500 0.6866 0.3732  5 As 2.96-2.99
As 0.2500 0.1880 0.3760  6 Nd 2.89-2.99
As 0.7500 0.8120 0.6240  6 Nd 2.89-2.99

Results
formation energy without anion corrections	-1110.6	meV/atom
size of the total moment	0.0	μB/f.u.
space group	Cmcm


- Which value of size of the total moment does entry 6 give?
  0.0 μB/f.u.


Copy entry 3 word for word.
NdTmAsSe | PBE | optimized geometry

a b c (Å): 4.1372 4.1372 7.2407
angles (deg): 73.40 73.40 60.00
With the nearest neighbours (Å) after each atom.
Fractional positions:
Tm 0.5041 0.5041 0.4878  3 As 2.83, 3 Se 2.92
Nd 0.9960 0.9960 0.0120  3 As 2.95, 3 Se 3.05
As 0.2448 0.2448 0.2657  3 Tm 2.83, 3 Nd 2.95
Se 0.7552 0.7552 0.7344  3 Tm 2.92, 3 Nd 3.05

Results
formation energy without anion corrections	-1689.5	meV/atom
size of the total moment	0.0	μB/f.u.
space group	R3m


- What is the formula in the third record?
  NdTmAsSe